Material: In3Pb2
Method: DFT, PBE-GGA
State: optimized geometry

Cell: 3.481 3.481 14.032 Å, 82.87 82.87 60.00°
Positions (direct):
In1 0.898 0.898 0.307
In2 0.102 0.102 0.693
In3 0.500 0.500 0.500
Pb1 0.298 0.298 0.105
Pb2 0.702 0.702 0.895

Summary:
M_tot = 0.00 μB per cell
Energy of formation = 14.6 meV per atom
SG = R-3m
DOS(E_F) = 1.915 states/eV/cell
Energy above the most stable polymorph in this dataset = 0 meV/atom

Material: Ho2Zn3Hg
Method: DFT, PBE-GGA
State: optimized geometry

Cell: 3.748 4.374 8.530 Å, 104.86 102.69 90.00°
Positions (direct):
Ho1 0.133 0.133 0.265
Ho2 0.865 0.365 0.731
Zn1 0.700 0.700 0.400
Zn2 0.295 0.795 0.590
Zn3 0.548 0.548 0.095
Hg1 0.459 0.959 0.918

Summary:
M_tot = 0.00 μB per cell
Energy of formation = -291.0 meV per atom
SG = Imm2
DOS(E_F) = 4.718 states/eV/cell
Energy above the most stable polymorph in this dataset = 99 meV/atom

Material: Zr3MnSi
Method: DFT, PBE-GGA
State: optimized geometry

Cell: 4.892 4.892 4.892 Å, 90.00 90.00 90.00°
Last column: magnetic moment on the atom in μB.
Positions (direct):
Mn1 0.500 0.500 0.500  0.00
Si1 0.000 0.000 0.000  0.01
Zr1 0.500 0.000 0.000  0.08
Zr2 0.000 0.500 0.000  0.05
Zr3 0.000 0.000 0.500  0.00

Summary:
Uncorrected formation energy = 3.8 eV per formula unit
M_tot = 0.35 μB per cell
SG = Pm-3m
DOS(E_F) = 12.688 states/eV/cell
Energy above the most stable polymorph in this dataset = 432 meV/atom

Material: TbEuTmIn
Method: DFT, PBE-GGA
State: optimized geometry

Cell: 5.490 5.490 5.490 Å, 60.00 60.00 60.00°
Last column: magnetic moment on the atom in μB.
Positions (direct):
In1 0.500 0.500 0.500  -0.02
Eu1 0.000 0.000 0.000  6.89
Tb1 0.250 0.250 0.250  0.14
Tm1 0.750 0.750 0.750  0.15

Summary:
M_tot = 7.46 μB per cell
Energy of formation = -105.3 meV per atom
SG = F-43m
DOS(E_F) = 5.053 states/eV/cell

Material: Zn2AgCl
Method: DFT, PBE-GGA
State: optimized geometry

Cell: 4.852 4.852 4.852 Å, 60.00 60.00 60.00°
Positions (direct):
Cl1 0.750 0.750 0.750
Zn1 0.000 0.000 0.000
Zn2 0.250 0.250 0.250
Ag1 0.500 0.500 0.500

Summary:
Uncorrected formation energy = 0.8 eV per formula unit
M_tot = 0.00 μB per cell
SG = F-43m
DOS(E_F) = 1.154 states/eV/cell
Energy above the most stable polymorph in this dataset = 363 meV/atom

Material: LaAl3
Method: DFT, PBE-GGA
State: optimized geometry

Cell: 5.694 5.694 18.202 Å, 90.00 90.00 120.00°
Positions (direct):
Al1 0.662 0.831 0.872
Al2 0.000 0.000 0.250
Al3 0.831 0.169 0.372
Al4 0.000 0.000 0.000
Al5 0.169 0.338 0.872
Al6 0.662 0.831 0.628
Al7 0.169 0.831 0.872
Al8 0.333 0.667 0.750
Al9 0.169 0.338 0.628
Al10 0.667 0.333 0.250
Al11 0.169 0.831 0.628
Al12 0.000 0.000 0.750
Al13 0.831 0.662 0.372
Al14 0.338 0.169 0.128
Al15 0.000 0.000 0.500
Al16 0.831 0.169 0.128
Al17 0.831 0.662 0.128
Al18 0.338 0.169 0.372
La1 0.333 0.667 0.250
La2 0.667 0.333 0.961
La3 0.667 0.333 0.750
La4 0.333 0.667 0.039
La5 0.667 0.333 0.539
La6 0.333 0.667 0.461

Summary:
M_tot = 0.00 μB per cell
Energy of formation = -408.9 meV per atom
SG = P6_3/mmc
DOS(E_F) = 9.231 states/eV/cell

Material: SrCuIr
Method: DFT, PBE-GGA
State: optimized geometry

Cell: 4.199 4.199 4.412 Å, 90.00 90.00 120.00°
Positions (direct):
Ir1 0.333 0.667 0.167
Cu1 0.000 0.000 0.167
Sr1 0.667 0.333 0.667

Summary:
M_tot = 0.00 μB per cell
Energy of formation = -8.9 meV per atom
SG = P-6m2
DOS(E_F) = 1.353 states/eV/cell
Energy above the most stable polymorph in this dataset = 158 meV/atom

Material: CsCe2P2N6
Method: DFT, PBE-GGA
State: optimized geometry

Cell: 6.409 6.573 6.467 Å, 115.42 90.00 60.82°
Last column: magnetic moment on the atom in μB.
Positions (direct):
Ce1 0.821 0.358 0.804  0.52
Ce2 0.179 0.642 0.196  0.52
N1 0.400 0.611 0.843  -0.01
N2 0.933 0.134 0.373  -0.01
N3 0.067 0.866 0.627  -0.01
N4 0.989 0.611 0.843  -0.01
N5 0.011 0.389 0.157  -0.01
N6 0.600 0.389 0.157  -0.01
P1 0.850 0.300 0.238  0.01
P2 0.150 0.700 0.762  0.01
Cs1 0.500 0.000 0.500  0.00

Summary:
Uncorrected formation energy = -8.7 eV per formula unit
M_tot = 1.06 μB per cell
SG = C2/m
DOS(E_F) = 8.708 states/eV/cell